Compound: AcPmNdSi
Source: the Alexandria database
Functional: PBE-GGA
Structure: relaxed

a b c (Å): 5.487 5.487 5.487
angles (deg): 60.00 60.00 60.00
Fractional coordinates of all 4 atoms:
Ac  0.250  0.250  0.250
Nd  0.500  0.500  0.500
Si  0.750  0.750  0.750
Pm  0.000  0.000  0.000

E_tot ... -4.705 eV/atom
DOS(E_F) ... 1.50 states/eV/atom
Uncorrected formation energy ... 6 kJ per mole of atoms
Crystal system ... cubic

---

Compound: Nd2GdBi
Source: the Alexandria database
Functional: PBE-GGA
Structure: relaxed

a b c (Å): 3.597 3.597 12.599
angles (deg): 81.79 81.79 60.00
Site moments in Bohr magnetons follow the coordinates.
Fractional coordinates of all 4 atoms:
Gd  0.500  0.500  0.500  7.25
Nd  0.087  0.087  0.739  -0.01
Nd  0.913  0.913  0.261  -0.01
Bi  0.000  0.000  0.000  0.02

E_tot ... -6.868 eV/atom
DOS(E_F) ... 1.31 states/eV/atom
Energy above the most stable polymorph in this dataset ... 1.70 eV per formula unit
DFT formation energy ... 0.01 eV/atom
Crystal system ... trigonal